Compound: MnAsPt3
Source: Alexandria
Functional: PBE
Structure: relaxed

## Properties
size of the total moment: 0.0 μB/f.u.
E above lowest polymorph: 0.572 eV per atom
electronic total energy: -26.9 eV/cell
E_form: 1.007 eV/atom

a = 4.5710 Å, b = 4.5710 Å, c = 4.5710 Å
α = 90.00°, β = 90.00°, γ = 90.00°
Last column: nearest neighbours and their distance in Å.
Space group Pm-3m (No. 221)
Asymmetric unit:
Mn 0.0000 0.0000 0.0000  6 Pt 2.29
As 0.5000 0.5000 0.5000  12 Pt 3.23
Pt 0.0000 0.0000 0.5000  2 Mn 2.29